# 1
# B5C7 | Alexandria via LeMat-Bulk | PBE | optimized geometry
data_B5C7
_space_group_name_H-M_alt 'P 1'
_space_group_IT_number 1
_cell_length_a 3.589
_cell_length_b 4.578
_cell_length_c 5.415
_cell_angle_alpha 105.37
_cell_angle_beta 94.11
_cell_angle_gamma 111.53
loop_
_space_group_symop_operation_xyz
'x,y,z'
loop_
_atom_site_label
_atom_site_fract_x
_atom_site_fract_y
_atom_site_fract_z
_atom_site_occupancy
B1 0.000 0.000 0.000 1
B2 0.004 0.945 0.470 1
B3 0.367 0.700 0.658 1
B4 0.654 0.306 0.323 1
B5 0.962 0.319 0.656 1
C1 0.245 0.035 0.761 1
C2 0.250 0.963 0.241 1
C3 0.321 0.642 0.163 1
C4 0.535 0.631 0.916 1
C5 0.575 0.643 0.406 1
C6 0.655 0.335 0.857 1
C7 0.916 0.331 0.087 1
# - Energy above the lowest structure with this stoichiometry: 115 meV per atom
# - DFT formation energy: 0.3725 eV/atom
# - Total moment: 0.00 μB/f.u.



# 2
# CaInTeI2 | Alexandria via LeMat-Bulk | PBE | optimized geometry
data_CaInTeI2
_space_group_name_H-M_alt 'P 4/m m m'
_space_group_IT_number 123
_space_group_name_Hall '-P 4 2'
_cell_length_a 6.236
_cell_length_b 6.236
_cell_length_c 6.390
_cell_angle_alpha 90.00
_cell_angle_beta 90.00
_cell_angle_gamma 90.00
loop_
_atom_site_label
_atom_site_fract_x
_atom_site_fract_y
_atom_site_fract_z
_atom_site_occupancy
Ca1 0.000 0.000 0.000 1
In1 0.500 0.500 0.500 1
Te1 0.000 0.000 0.500 1
I1 0.000 0.500 0.000 1
# - Energy above the lowest structure with this stoichiometry: 0 meV per atom
# - ΔE_f (raw): -0.63 eV per atom
# - Total moment: 1.02 μB/f.u.